1.
The following is a DFT calculation (PBE) of an optimized crystal structure of Sr2AcTbS4.

Formation energy from raw total energies, eV/atom: -2.02

abc: 4.170 7.236 7.323
angles: 109.09 90.00 90.00
Atoms (fractional coordinates):
Sr: 0.500 0.000 0.500
Sr: 0.000 0.500 0.500
Ac: 0.500 0.500 0.000
Tb: 0.000 0.000 0.000
S: 0.500 0.233 0.236
S: 0.500 0.767 0.764
S: 0.000 0.237 0.754
S: 0.000 0.763 0.246


2.
The following is a DFT calculation (PBE) of an optimized crystal structure of SrAc2Tl3S6.

Formation energy from raw total energies, eV/atom: -1.34

abc: 4.407 8.823 9.871
angles: 103.16 102.90 90.00
Atoms (fractional coordinates):
Sr: 0.500 0.000 0.000
Ac: 0.835 0.673 0.669
Ac: 0.165 0.327 0.331
Tl: 0.500 0.500 0.000
Tl: 0.837 0.165 0.674
Tl: 0.163 0.835 0.326
S: 0.339 0.901 0.678
S: 0.674 0.562 0.347
S: 0.661 0.099 0.322
S: 0.008 0.239 0.015
S: 0.992 0.761 0.985
S: 0.326 0.438 0.653


3.
The following is a DFT calculation (PBE) of an optimized crystal structure of Sr2AcTlS4.

Formation energy from raw total energies, eV/atom: -1.78

abc: 4.367 7.485 7.558
angles: 71.40 90.00 90.00
Atoms (fractional coordinates):
Sr: 0.000 0.000 0.000
Sr: 0.500 0.000 0.500
Ac: 0.000 0.500 0.500
Tl: 0.500 0.500 0.000
S: 0.000 0.764 0.727
S: 0.000 0.237 0.273
S: 0.500 0.751 0.263
S: 0.500 0.249 0.737